No. 1
First-principles (PBE-GGA) data for an optimized crystal structure of CaRuPt2, as listed in the Alexandria database.

Computed properties:
energy above the lowest structure with this stoichiometry = 353 meV per atom
total magnetic moment = 0.0 μB per formula unit
formation energy from the elements = 0.094 eV/atom

Lattice parameters (Å, degrees): 9.475 9.475 9.475 17.56 17.56 17.56
Element x y z (fractional)
1 Ru 0.250 0.250 0.250
2 Pt 0.504 0.504 0.504
3 Pt 0.996 0.996 0.996
4 Ca 0.750 0.750 0.750



No. 2
First-principles (PBE-GGA) data for an optimized crystal structure of Ac5Ir2S, as listed in the Alexandria database.

Computed properties:
total magnetic moment = 0.0 μB per formula unit
raw formation energy = -0.8087 eV/atom

Lattice parameters (Å, degrees): 5.995 7.495 14.829 90.00 90.00 113.57
Element x y z (fractional)
1 Ac 0.767 0.534 0.250
2 Ac 0.662 0.324 0.554
3 Ac 0.338 0.676 0.446
4 Ac 0.662 0.324 0.946
5 Ac 0.338 0.676 0.054
6 Ac 0.052 0.104 0.381
7 Ac 0.233 0.466 0.750
8 Ac 0.948 0.896 0.619
9 Ac 0.948 0.896 0.881
10 Ac 0.052 0.104 0.119
11 Ir 0.849 0.698 0.057
12 Ir 0.151 0.302 0.557
13 Ir 0.849 0.698 0.443
14 Ir 0.151 0.302 0.943
15 S 0.235 0.470 0.250
16 S 0.765 0.530 0.750



No. 3
First-principles (PBE-GGA) data for an optimized crystal structure of Zn2WSe, as listed in the Alexandria database.

Computed properties:
total magnetic moment = 0.0 μB per formula unit
raw formation energy = 0.4471 eV/atom

Lattice parameters (Å, degrees): 5.481 5.481 4.290 85.68 85.68 31.06
Element x y z (fractional)
1 Se 0.750 0.750 0.750
2 Zn 0.980 0.980 0.012
3 Zn 0.520 0.520 0.488
4 W 0.250 0.250 0.250



No. 4
First-principles (PBE-GGA) data for an optimized crystal structure of Ac2DyTeO8, as listed in the Alexandria database.

Computed properties:
total magnetic moment = 0.4 μB per formula unit
raw formation energy = -2.3988 eV/atom

Lattice parameters (Å, degrees): 5.357 5.359 7.139 90.00 90.00 91.54
Each line ends with the local moment (μB).
Element x y z (fractional)
1 Ac 0.500 0.500 0.755  0.01
2 Ac 0.500 0.500 0.245  0.01
3 Te 0.000 0.000 0.000  -0.01
4 O 0.259 0.257 0.000  0.06
5 O 0.831 0.170 0.790  0.05
6 O 0.169 0.830 0.210  0.05
7 O 0.704 0.705 0.500  0.03
8 O 0.169 0.830 0.790  0.05
9 O 0.296 0.295 0.500  0.03
10 O 0.741 0.743 0.000  0.06
11 O 0.831 0.170 0.210  0.05
12 Dy 0.000 0.000 0.500  -0.01



Q: Look up the total magnetic moment of the third one.
A: 0.0 μB per formula unit



Q: The highest total magnetic moment belongs to which entry?
A: Ac2DyTeO8